(1)
{"formula": "RbHoSbTe3", "functional": "PBE", "state": "relaxed", "lattice": [[2.208, -8.722, 0.000], [2.208, 8.722, 0.000], [0.000, 0.000, 11.676]], "species": ["Rb", "Rb", "Ho", "Ho", "Sb", "Sb", "Te", "Te", "Te", "Te", "Te", "Te"], "frac_coords": [[0.237, 0.763, 0.750], [0.763, 0.237, 0.250], [0.000, 0.000, 0.000], [0.000, 0.000, 0.500], [0.458, 0.542, 0.250], [0.542, 0.458, 0.750], [0.088, 0.912, 0.250], [0.375, 0.625, 0.028], [0.375, 0.625, 0.472], [0.625, 0.375, 0.528], [0.625, 0.375, 0.972], [0.912, 0.088, 0.750]], "volume_a3_per_cell": 450, "density_g_cm3": 5.6, "e_tot_ev_per_atom": -3.887}



(2)
{"formula": "RbHoSnSe3", "functional": "PBE", "state": "relaxed", "lattice": [[2.051, -8.492, 0.000], [2.051, 8.492, 0.000], [0.000, 0.000, 11.914]], "species": ["Rb", "Rb", "Ho", "Ho", "Sn", "Sn", "Se", "Se", "Se", "Se", "Se", "Se"], "frac_coords": [[0.190, 0.810, 0.750], [0.810, 0.190, 0.250], [0.500, 0.500, 0.000], [0.500, 0.500, 0.500], [0.112, 0.888, 0.250], [0.888, 0.112, 0.750], [0.115, 0.885, 0.006], [0.115, 0.885, 0.494], [0.498, 0.502, 0.750], [0.502, 0.498, 0.250], [0.885, 0.115, 0.506], [0.885, 0.115, 0.994]], "volume_a3_per_cell": 415, "density_g_cm3": 4.9, "e_tot_ev_per_atom": -4.516}



(3)
{"formula": "RbSrHoSe3", "functional": "PBE", "state": "relaxed", "lattice": [[9.519, -2.116, 0.000], [9.519, 2.116, 0.000], [-5.963, 0.000, 10.615]], "species": ["Rb", "Rb", "Sr", "Sr", "Ho", "Ho", "Se", "Se", "Se", "Se", "Se", "Se"], "frac_coords": [[0.047, 0.047, 0.247], [0.953, 0.953, 0.753], [0.383, 0.383, 0.321], [0.617, 0.617, 0.679], [0.334, 0.334, 0.935], [0.666, 0.666, 0.065], [0.000, 0.000, 0.500], [0.158, 0.158, 0.888], [0.212, 0.212, 0.240], [0.500, 0.500, 0.000], [0.788, 0.788, 0.760], [0.842, 0.842, 0.112]], "volume_a3_per_cell": 428, "density_g_cm3": 4.5, "e_tot_ev_per_atom": -4.638}